First-principles (GGA+U) data for crystalline Ni2RuF at its relaxed geometry, as listed in the Alexandria database.

## Properties
DFT total energy   -3.32 eV per atom
Total magnetic moment   4.4 μB/f.u.
Density   7.528 g/cm3
Symmetry   Fm-3m, No. 225
N(E_F)   3.4 states/eV per cell
Energy relative to the lowest polymorph listed for this composition   0.258 eV per atom

Cell: 4.200 4.200 4.200 Å, 60.00 60.00 60.00°
Sites, in units of the cell vectors:
Ru 0.500 0.500 0.500
F 0.000 0.000 0.000
Ni 0.250 0.250 0.250
Ni 0.750 0.750 0.750